Nd2Al5Ir3: relaxed, PBE-GGA.

Cell lengths 12.892, 12.892, 6.836 Å; angles 90.00, 90.00, 160.73 degrees
Atoms (fractional coordinates):
Nd: 0.021 0.979 0.500
Nd: 0.324 0.676 0.554
Nd: 0.676 0.324 0.054
Nd: 0.979 0.021 0.000
Al: 0.100 0.900 0.871
Al: 0.207 0.793 0.371
Al: 0.213 0.787 0.764
Al: 0.371 0.629 0.028
Al: 0.443 0.557 0.668
Al: 0.557 0.443 0.168
Al: 0.629 0.371 0.528
Al: 0.787 0.213 0.264
Al: 0.793 0.207 0.871
Al: 0.900 0.100 0.371
Ir: 0.109 0.891 0.250
Ir: 0.272 0.728 0.069
Ir: 0.449 0.551 0.287
Ir: 0.551 0.449 0.787
Ir: 0.728 0.272 0.569
Ir: 0.891 0.109 0.750

## Properties
The energy of formation from the pure elements comes out at -0.76 eV per atom. The density of states at the Fermi level comes out at 0.533 states/eV per atom. The space-group type is No. 36. The value obtained for the calculated volume is 374.9 Å³/cell.